GGA-PBE GdSc2Cu, optimized geometry; ΔE to the lowest computed polymorph = 112 kJ/mol of formula units; total moment = 7.78 μB/cell; D(E_F) = 4.94 states/eV/f.u.; formation enthalpy at 0 K = 0.21 eV/atom
1.0
1.659 0.958 10.253
-1.659 0.958 10.253
0.000 -1.916 10.253
Gd Sc Cu
1 2 1
Direct
0.000 0.000 0.000
0.104 0.104 0.104
0.896 0.896 0.896
0.500 0.500 0.500